Mg2RuPt after structural relaxation, computed with PBE.

- formation energy (eV per atom) = -0.23

Geometry as POSCAR:
```
Mg2RuPt
1.0
1.4482 0.8361 8.7378
-1.4482 0.8361 8.7378
0.0000 -1.6723 8.7378
Mg Ru Pt
2 1 1
Direct
0.2492 0.2492 0.2492 Mg
0.7508 0.7508 0.7508 Mg
0.5000 0.5000 0.5000 Ru
0.0000 0.0000 0.0000 Pt
```